Record 1
Crystalline TlTc2Br at its relaxed geometry, computed with PBE.

The value obtained for the density of states at the Fermi level is 4.67 states/eV/f.u.

It has space group R3m (No. 160, hexagonal axes), with a = 3.0450 Å, b = 3.0450 Å, c = 31.0842 Å, α = 90.00°, β = 90.00° and γ = 120.00°. The inequivalent atoms are Tl at (0.0000, 0.0000, 0.0000), Tc at (0.0000, 0.0000, 0.4775), Tc at (0.0000, 0.0000, 0.7473) and Br at (0.0000, 0.0000, 0.2082).

***

Record 2
Crystalline TlTc3Br at its relaxed geometry, computed with PBE.

The value obtained for the density of states at the Fermi level is 5.76 states/eV/f.u.

It has space group Pm-3m (No. 221), with a = 4.604 Å, b = 4.604 Å, c = 4.604 Å, α = 90.00°, β = 90.00° and γ = 90.00°. The inequivalent atoms are Tl at (0.000, 0.000, 0.000), Tc at (0.000, 0.500, 0.500) and Br at (0.500, 0.500, 0.500).

***

Record 3
Crystalline TlTc2Br at its relaxed geometry, computed with PBE.

The value obtained for the density of states at the Fermi level is 4.67 states/eV/f.u.

It has space group C2/m (No. 12), with a = 8.809 Å, b = 3.034 Å, c = 5.829 Å, α = 90.00°, β = 104.44° and γ = 90.00°. The inequivalent atoms are Tl at (0.000, 0.000, 0.000), Tc at (0.247, 0.500, 0.311) and Br at (0.000, 0.500, 0.500).

***

Record 4
Crystalline TlTc2Br at its relaxed geometry, computed with PBE.

The value obtained for the density of states at the Fermi level is 3.10 states/eV/f.u.

It has space group P2/m (No. 10), with a = 3.788 Å, b = 4.830 Å, c = 5.444 Å, α = 90.00°, β = 94.85° and γ = 90.00°. The inequivalent atoms are Tl at (0.000, 0.000, 0.000), Tc at (0.307, 0.500, 0.136) and Br at (0.500, 0.000, 0.500).

***

Record 5
Crystalline TlTc2Br at its relaxed geometry, computed with PBE.

The value obtained for the density of states at the Fermi level is 3.20 states/eV/f.u.

It has space group Cm (No. 8), with a = 7.094 Å, b = 4.049 Å, c = 7.866 Å, α = 90.00°, β = 114.30° and γ = 90.00°. The inequivalent atoms are Tl at (0.000, 0.000, 0.000), Tc at (0.042, 0.500, 0.727), Tc at (0.191, 0.000, 0.677) and Br at (0.058, 0.500, 0.400).

***

Record 6
Crystalline TlTc4Br at its relaxed geometry, computed with PBE.

The value obtained for the density of states at the Fermi level is 6.64 states/eV/f.u.

It has space group F-43m (No. 216), with a = 7.515 Å, b = 7.515 Å, c = 7.515 Å, α = 90.00°, β = 90.00° and γ = 90.00°. The inequivalent atoms are Tl at (0.000, 0.000, 0.000), Tc at (0.123, 0.123, 0.377) and Br at (0.250, 0.250, 0.750).

***

Record 7
Crystalline TlTcBr at its relaxed geometry, computed with PBE.

The value obtained for the density of states at the Fermi level is 3.16 states/eV/f.u.

It has space group P3m1 (No. 156), with a = 3.3031 Å, b = 3.3031 Å, c = 7.3099 Å, α = 90.00°, β = 90.00° and γ = 120.00°. The inequivalent atoms are Tl at (0.0000, 0.0000, 0.0000), Tc at (0.3333, 0.6667, 0.6741) and Br at (0.6667, 0.3333, 0.4542).

***

Record 8
Crystalline Tl3TcBr7 at its relaxed geometry, computed with PBE.

It has space group Cm (No. 8), with a = 10.710 Å, b = 10.406 Å, c = 8.067 Å, α = 90.00°, β = 113.84° and γ = 90.00°. The inequivalent atoms are Tl at (0.000, 0.000, 0.000), Tl at (0.011, 0.271, 0.503), Tc at (0.499, 0.000, 0.986), Br at (0.146, 0.324, 0.188), Br at (0.151, 0.500, 0.811), Br at (0.350, 0.000, 0.164), Br at (0.351, 0.173, 0.774) and Br at (0.453, 0.500, 0.611).

***

The following V values (in Å³/atom) correspond, in order, to the records above: 20.8 19.5 18.9 24.8 25.7 17.7 23.0 37.4.
The following formation energy from raw total energies values (in eV per atom) correspond, in order, to the records above: 0.479 1.541 0.870 0.788 0.535 0.998 0.509 -0.636.